1.
The following is a meta-GGA SCAN calculation of a PBEsol-optimized structure of CsNdNb2O7, from Alexandria via LeMat-Bulk.

Output
The calculation puts the formation energy without anion corrections at -33.02 eV per formula unit. The density of states at the Fermi level is 0.0 states/eV/f.u. The calculation puts the density at 5.69 g/cm3. The value obtained for the total energy is -20.390 eV per atom.

Geometry as CIF:
```
data_CsNdNb2O7
_chemical_formula_sum 'Cs2 Nd2 Nb4 O14'
_cell_length_a 11.2561
_cell_length_b 5.4357
_cell_length_c 5.4862
_cell_angle_alpha 90.00
_cell_angle_beta 90.00
_cell_angle_gamma 90.00
_symmetry_space_group_name_H-M 'P m c 21'
_symmetry_Int_Tables_number 26
loop_
_symmetry_equiv_pos_as_xyz
'x,y,z'
'-x,-y,z+1/2'
'-x,y,z'
'x,-y,z+1/2'
loop_
_atom_site_label
_atom_site_type_symbol
_atom_site_fract_x
_atom_site_fract_y
_atom_site_fract_z
Cs1 Cs 0.0000 0.2380 0.0000
Nd1 Nd 0.5000 0.2517 0.0236
Nb1 Nb 0.2985 0.2486 0.4831
O1 O 0.1414 0.3009 0.4939
O2 O 0.3084 0.0607 0.1629
O3 O 0.3575 0.4646 0.7556
O4 O 0.5000 0.1721 0.4532
```

=====

2.
The following is a meta-GGA SCAN calculation of a PBEsol-optimized structure of TaCSeF2, from Alexandria via LeMat-Bulk.

Output
The calculation puts the formation energy without anion corrections at 4.10 eV per formula unit. The density of states at the Fermi level is 1.0 states/eV/f.u. The calculation puts the density at 5.22 g/cm3. The value obtained for the total energy is -19.948 eV per atom.

Geometry as CIF:
```
data_TaCSeF2
_chemical_formula_sum 'Ta1 C1 Se1 F2'
_cell_length_a 3.6057
_cell_length_b 3.6057
_cell_length_c 7.5763
_cell_angle_alpha 90.00
_cell_angle_beta 90.00
_cell_angle_gamma 90.00
_symmetry_space_group_name_H-M 'P 4/m m m'
_symmetry_Int_Tables_number 123
_symmetry_space_group_name_Hall '-P 4 2'
loop_
_atom_site_label
_atom_site_type_symbol
_atom_site_fract_x
_atom_site_fract_y
_atom_site_fract_z
Ta1 Ta 0.0000 0.0000 0.0000
C1 C 0.5000 0.5000 0.0000
Se1 Se 0.5000 0.5000 0.5000
F1 F 0.0000 0.5000 0.5000
```